Eu2FeP3Pt7 at its PBEsol-relaxed geometry, computed with meta-GGA SCAN.

```
Eu2FeP3Pt7
1.0
-0.028 1.093 3.871
-1.924 -3.403 0.947
12.726 -4.982 -0.592
Pt Fe Eu P
7 1 2 3
direct
0.930 0.430 0.859
0.071 0.571 0.143
0.208 0.208 0.415
0.000 0.000 0.000
0.792 0.792 0.585
0.570 0.070 0.141
0.429 0.929 0.857
0.500 0.500 0.000
0.665 0.665 0.329
0.335 0.335 0.671
0.879 0.879 0.759
0.750 0.250 0.500
0.121 0.121 0.241
```

Summary:
Total moment   18.1 μB/f.u.
Total DFT energy (no corrections)   -50.79 eV/atom
Space group   I-4m2, No. 119
Formation energy   -0.933 eV per atom

Li2MoRu at its PBEsol-relaxed geometry, computed with meta-GGA SCAN.

```
Li2MoRu
1.0
2.646 -0.001 0.000
-1.046 2.430 0.000
0.000 0.000 9.373
Li Mo Ru
2 1 1
direct
0.000 0.000 0.023
0.500 0.500 0.739
0.000 0.000 0.483
0.500 0.500 0.255
```

Summary:
Total moment   0.0 μB/f.u.
Total DFT energy (no corrections)   -18.41 eV/atom
Space group   Cmm2, No. 35
Formation energy   0.218 eV per atom

SrSc2Ta at its PBEsol-relaxed geometry, computed with meta-GGA SCAN.

```
SrSc2Ta
1.0
4.275 0.000 0.000
0.000 4.726 0.000
0.000 0.000 4.726
Sc Sr Ta
2 1 1
direct
0.000 0.000 0.500
0.000 0.500 0.000
0.500 0.500 0.500
0.500 0.000 0.000
```

Summary:
Total moment   0.0 μB/f.u.
Total DFT energy (no corrections)   -28.60 eV/atom
Space group   P4/mmm, No. 123
Formation energy   0.729 eV per atom

Zr3AsRh at its PBEsol-relaxed geometry, computed with meta-GGA SCAN.

```
Zr3AsRh
1.0
4.916 0.000 0.000
0.000 4.916 0.000
0.000 0.000 4.916
Zr As Rh
3 1 1
direct
0.500 0.000 0.000
0.000 0.500 0.000
0.000 0.000 0.500
0.500 0.500 0.500
0.000 0.000 0.000
```

Summary:
Total moment   0.0 μB/f.u.
Total DFT energy (no corrections)   -29.23 eV/atom
Space group   Pm-3m, No. 221
Formation energy   -0.020 eV per atom

BeNi2Ru at its PBEsol-relaxed geometry, computed with meta-GGA SCAN.

```
BeNi2Ru
1.0
-1.866 0.020 1.715
-1.667 -0.619 -1.806
1.022 -6.201 1.183
Ni Ru Be
2 1 1
direct
0.000 0.000 0.290
0.000 0.000 0.710
0.500 0.500 0.000
0.500 0.500 0.500
```

Summary:
Total moment   0.0 μB/f.u.
Total DFT energy (no corrections)   -18.04 eV/atom
Space group   P4/mmm, No. 123
Formation energy   -0.157 eV per atom

Zn2GeRh2 at its PBEsol-relaxed geometry, computed with meta-GGA SCAN.

```
Zn2GeRh2
1.0
-3.610 0.294 1.186
-0.588 -6.186 -0.257
1.905 -0.427 5.904
Rh Zn Ge
4 4 2
direct
0.000 0.346 0.846
0.000 0.846 0.654
0.000 0.654 0.154
0.000 0.154 0.346
0.500 0.352 0.148
0.500 0.148 0.648
0.500 0.852 0.352
0.500 0.648 0.852
0.000 0.000 0.000
0.000 0.500 0.500
```

Summary:
Total moment   0.0 μB/f.u.
Total DFT energy (no corrections)   -23.15 eV/atom
Space group   P4/mbm, No. 127
Formation energy   -0.422 eV per atom